Record 1
Computed, not measured: a geometry-optimized Pm2SmY6Er structure at the PBE-GGA level of DFT.

formation enthalpy at 0 K: 0.112 eV per atom
total DFT energy (no corrections): -5.64 eV per atom
magnetization: 0.000 μB/atom

Cell: 9.7565 8.8019 8.8019 Å, 117.72 94.77 94.77°
Closest atoms and distances in Å follow each position.
Atoms (fractional coordinates):
Y1 0.4430 0.2550 0.8775  8 Y 3.43-3.83, 1 Pm 3.54, 1 Sm 3.66, 1 Er 3.79
Y2 0.3144 0.9825 0.4277  2 Y 3.28-3.58, 1 Pm 3.42, 1 Er 3.46, 1 Sm 3.59
Pm1 0.0449 0.2953 0.1952  5 Y 3.27-3.54, 2 Sm 3.38-3.39, 1 Er 3.54
Y3 0.0570 0.1225 0.7450  8 Y 3.43-3.83, 1 Pm 3.54, 1 Sm 3.66, 1 Er 3.79
Y4 0.8144 0.4277 0.9825  2 Y 3.28-3.58, 1 Pm 3.42, 1 Er 3.46, 1 Sm 3.59
Y5 0.3822 0.5060 0.2954  3 Pm 3.27-3.47, 4 Y 3.28-3.53, 2 Er 3.43-3.56
Y6 0.6178 0.4940 0.7046  3 Pm 3.27-3.47, 4 Y 3.28-3.53, 2 Er 3.43-3.56
Er1 0.2500 0.4073 0.5927  8 Y 3.43-3.79, 2 Pm 3.54
Pm2 0.9551 0.7047 0.8048  5 Y 3.27-3.54, 2 Sm 3.38-3.39, 1 Er 3.54
Y7 0.9430 0.8775 0.2550  8 Y 3.43-3.83, 1 Pm 3.54, 1 Sm 3.66, 1 Er 3.79
Er2 0.7500 0.5927 0.4073  8 Y 3.43-3.79, 2 Pm 3.54
Sm1 0.7500 0.0193 0.9807  4 Pm 3.38-3.39, 4 Y 3.59-3.66
Y8 0.8822 0.2954 0.5060  3 Pm 3.27-3.47, 4 Y 3.28-3.53, 2 Er 3.43-3.56
Y9 0.1178 0.7046 0.4940  3 Pm 3.27-3.47, 4 Y 3.28-3.53, 2 Er 3.43-3.56
Sm2 0.2500 0.9807 0.0193  4 Pm 3.38-3.39, 4 Y 3.59-3.66
Pm3 0.4551 0.8048 0.7047  5 Y 3.27-3.54, 2 Sm 3.38-3.39, 1 Er 3.54
Y10 0.5570 0.7450 0.1225  8 Y 3.43-3.83, 1 Pm 3.54, 1 Sm 3.66, 1 Er 3.79
Pm4 0.5449 0.1952 0.2953  5 Y 3.27-3.54, 2 Sm 3.38-3.39, 1 Er 3.54
Y11 0.6856 0.0175 0.5723  2 Y 3.28-3.58, 1 Pm 3.42, 1 Er 3.46, 1 Sm 3.59
Y12 0.1856 0.5723 0.0175  2 Y 3.28-3.58, 1 Pm 3.42, 1 Er 3.46, 1 Sm 3.59

=====

Record 2
Computed, not measured: a geometry-optimized PmSm3YEr structure at the PBE-GGA level of DFT.

formation enthalpy at 0 K: 0.190 eV per atom
total DFT energy (no corrections): -4.80 eV per atom
magnetization: 0.000 μB/atom

Cell: 5.7804 10.5574 6.8437 Å, 90.12 90.00 105.89°
Closest atoms and distances in Å follow each position.
Atoms (fractional coordinates):
Er1 0.3525 0.7051 0.5329  1 Pm 3.07, 4 Sm 3.23-3.43
Sm1 0.7803 0.5607 0.7545  3 Pm 3.30-3.61, 1 Y 3.30, 3 Er 3.34-3.58, 2 Sm 3.56-3.69
Sm2 0.5189 0.0379 0.7432  1 Pm 3.17, 1 Er 3.23, 2 Y 3.28, 1 Sm 3.42
Pm1 0.6447 0.2895 0.0188  1 Er 3.07, 2 Sm 3.17-3.30
Y1 0.0573 0.1145 0.2612  3 Sm 3.28-3.30
Sm3 0.4811 0.9621 0.2568  1 Pm 3.17, 1 Er 3.23, 2 Y 3.28, 1 Sm 3.42
Pm2 0.3553 0.7105 0.9812  1 Er 3.07, 2 Sm 3.17-3.30
Er2 0.6475 0.2949 0.4671  1 Pm 3.07, 4 Sm 3.23-3.43
Sm4 0.2197 0.4393 0.2455  3 Pm 3.30-3.61, 1 Y 3.30, 3 Er 3.34-3.58, 2 Sm 3.56-3.69
Y2 0.9427 0.8855 0.7388  3 Sm 3.28-3.30
Sm5 0.8389 0.6778 0.2649  2 Er 3.43, 2 Pm 3.50, 4 Sm 3.56-3.77
Sm6 0.1611 0.3222 0.7351  2 Er 3.43, 2 Pm 3.50, 4 Sm 3.56-3.77